A relaxed Cs2NaGaAs crystal, computed with PBE.

Unit cell a=6.5806 b=5.4768 c=6.5806 alpha=90.00 beta=90.00 gamma=90.00
Atoms (fractional coordinates):
Cs  0.5000  0.0000  0.0000
Ga  0.0000  0.5000  0.0000
Na  0.0000  0.0000  0.0000
Cs  0.0000  0.0000  0.5000
As  0.5000  0.5000  0.5000

Results
Its volume is 237 Å³/f.u. The size of the total moment is 0.5 μB per formula unit. The density of states at the Fermi level is 4.0 states/eV/cell. Its formation energy is 428 meV per atom. The crystal system is tetragonal. Its electronic total energy is -1.712 eV per atom.